# 1
A plane-wave DFT calculation with SCAN was carried out for a crystal of TeRuPb2 relaxed with PBEsol.

Computed properties:
Its volume is 23.3 A^3/atom. The value obtained for the uncorrected formation energy is 651.7 meV/atom.

Lattice parameters (Å, degrees): 5.220 5.220 3.556 90.26 90.26 105.56
Fractional positions:
Te: 0.000 0.000 0.000
Ru: 0.500 0.500 0.000
Pb: 0.000 0.500 0.500
Pb: 0.500 0.000 0.500

***

# 2
A plane-wave DFT calculation with SCAN was carried out for a crystal of TeRuPb2 relaxed with PBEsol.

Computed properties:
Its volume is 24.0 A^3/atom. The value obtained for the uncorrected formation energy is 97.9 meV/atom.

Lattice parameters (Å, degrees): 3.244 3.244 9.109 90.00 90.00 90.00
Fractional positions:
Te: 0.000 0.000 0.000
Ru: 0.500 0.500 0.850
Pb: 0.000 0.000 0.622
Pb: 0.500 0.500 0.319

***

# 3
A plane-wave DFT calculation with SCAN was carried out for a crystal of TeRuPb2 relaxed with PBEsol.

Computed properties:
Its volume is 23.1 A^3/atom. The value obtained for the uncorrected formation energy is 606.7 meV/atom.

Lattice parameters (Å, degrees): 5.682 5.682 5.682 134.26 134.26 66.68
Fractional positions:
Te: 0.000 0.000 0.000
Ru: 0.500 0.500 0.000
Pb: 0.250 0.750 0.500
Pb: 0.750 0.250 0.500